DFT (SCAN) results for a crystal of HgMo2P relaxed with PBEsol.

Properties
D(E_F)   8.55 states/eV/cell
E   -36.97 eV/atom
Relative energy among the computed polymorphs   0 meV/atom

Lattice parameters (Å, degrees): 3.4810 3.4810 19.5120 90.00 90.00 120.00
Space group R-3m (No. 166, hexagonal axes)
Asymmetric unit:
Hg 0.0000 0.0000 0.0000 x3
Mo 0.0000 0.0000 0.2257 x6
P 0.0000 0.0000 0.5000 x3